Computed, not measured: a relaxed TmZnSnAu crystal at the PBE level of DFT.

Unit cell a=6.951 b=6.951 c=6.951 alpha=90.00 beta=90.00 gamma=90.00
Space group F-43m (No. 216)
Symmetry-distinct sites (fractional):
Tm 0.000 0.000 0.000 x4
Zn 0.250 0.250 0.250 x4
Sn 0.000 0.000 0.500 x4
Au 0.250 0.250 0.750 x4

VASP energy in Ha/atom: -0.13654
DOS at the Fermi energy in states/eV/f.u.: 1.85
V in Å³ per atom: 20.99
Formation enthalpy at 0 K in eV per atom: -0.459


Computed, not measured: a relaxed LiSm2ErTl4 crystal at the PBE level of DFT.

Unit cell a=5.2759 b=5.2759 c=26.7307 alpha=90.00 beta=90.00 gamma=120.00
Space group R-3m (No. 166, hexagonal axes)
Symmetry-distinct sites (fractional):
Li 0.0000 0.0000 0.0000 x3
Sm 0.0000 0.0000 0.2553 x6
Er 0.0000 0.0000 0.5000 x3
Tl 0.0000 0.0000 0.1244 x6
Tl 0.0000 0.0000 0.3738 x6

VASP energy in Ha/atom: -0.12890
DOS at the Fermi energy in states/eV/f.u.: 4.77
V in Å³ per atom: 26.85
Formation enthalpy at 0 K in eV per atom: -0.335


Computed, not measured: a relaxed ScVW crystal at the PBE level of DFT.

Unit cell a=2.983 b=4.646 c=7.850 alpha=90.00 beta=90.00 gamma=90.00
Space group Pmmn (No. 59, origin choice 2)
Symmetry-distinct sites (fractional):
Sc 0.250 0.250 0.076 x2
V 0.250 0.250 0.449 x2
W 0.250 0.750 0.289 x2

E above lowest polymorph in eV per formula unit: 1.04
VASP energy in Ha/atom: -0.33009
DOS at the Fermi energy in states/eV/f.u.: 3.62
V in Å³ per atom: 18.13
Formation enthalpy at 0 K in eV per atom: 0.486


Computed, not measured: a relaxed ThMgMn2H8 crystal at the PBE level of DFT.

Unit cell a=4.3544 b=4.3544 c=5.9923 alpha=90.00 beta=90.00 gamma=120.00
Space group P-3 (No. 147)
Symmetry-distinct sites (fractional):
Th 0.0000 0.0000 0.0000 x1
Mg 0.0000 0.0000 0.5000 x1
Mn 0.3333 0.6667 0.6453 x2
H 0.0579 0.6687 0.3108 x6
H 0.3333 0.6667 0.9184 x2

VASP energy in Ha/atom: -0.16546
DOS at the Fermi energy in states/eV/f.u.: 5.19
V in Å³ per atom: 8.20


Computed, not measured: a relaxed CdCoTc4 crystal at the PBE level of DFT.

Unit cell a=7.261 b=7.261 c=7.261 alpha=90.00 beta=90.00 gamma=90.00
Space group F-43m (No. 216)
Symmetry-distinct sites (fractional):
Cd 0.000 0.000 0.000 x4
Co 0.250 0.250 0.750 x4
Tc 0.125 0.125 0.375 x16

VASP energy in Ha/atom: -0.28256
DOS at the Fermi energy in states/eV/f.u.: 6.48
V in Å³ per atom: 15.95
Formation enthalpy at 0 K in eV per atom: 0.559


Computed, not measured: a relaxed Li2ErMg2Cd2 crystal at the PBE level of DFT.

Unit cell a=8.381 b=4.873 c=7.798 alpha=90.00 beta=111.96 gamma=90.00
Space group C2/m (No. 12)
Symmetry-distinct sites (fractional):
Li 0.227 0.000 0.173 x4
Er 0.000 0.500 0.000 x2
Mg 0.145 0.500 0.431 x4
Cd 0.079 0.000 0.748 x4

VASP energy in Ha/atom: -0.07461
DOS at the Fermi energy in states/eV/f.u.: 2.77
V in Å³ per atom: 21.10
Formation enthalpy at 0 K in eV per atom: -0.115


Computed, not measured: a relaxed InCuTc2 crystal at the PBE level of DFT.

Unit cell a=2.8504 b=2.8504 c=26.9516 alpha=90.00 beta=90.00 gamma=120.00
Space group R3m (No. 160, hexagonal axes)
Symmetry-distinct sites (fractional):
In 0.0000 0.0000 0.0000 x3
Cu 0.0000 0.0000 0.7531 x3
Tc 0.0000 0.0000 0.2431 x3
Tc 0.0000 0.0000 0.5008 x3

VASP energy in Ha/atom: -0.24376
DOS at the Fermi energy in states/eV/f.u.: 3.78
V in Å³ per atom: 15.80
Formation enthalpy at 0 K in eV per atom: 0.259


Computed, not measured: a relaxed CoAsPb crystal at the PBE level of DFT.

Unit cell a=3.094 b=3.094 c=12.580 alpha=90.00 beta=90.00 gamma=90.00
Space group I4mm (No. 107)
Symmetry-distinct sites (fractional):
Co 0.000 0.000 0.000 x2
As 0.000 0.000 0.414 x2
Pb 0.000 0.000 0.668 x2

E above lowest polymorph in eV per formula unit: 0.28
VASP energy in Ha/atom: -0.18570
DOS at the Fermi energy in states/eV/f.u.: 2.56
V in Å³ per atom: 20.07
Formation enthalpy at 0 K in eV per atom: 0.102


Computed, not measured: a relaxed RbBaNa2Bi2 crystal at the PBE level of DFT.

Unit cell a=5.5570 b=5.5570 c=8.9852 alpha=90.00 beta=90.00 gamma=120.00
Space group P-3m1 (No. 164)
Symmetry-distinct sites (fractional):
Rb 0.0000 0.0000 0.0000 x1
Ba 0.0000 0.0000 0.5000 x1
Na 0.3333 0.6667 0.2746 x2
Bi 0.3333 0.6667 0.7083 x2

VASP energy in Ha/atom: -0.09961
DOS at the Fermi energy in states/eV/f.u.: 4.37
V in Å³ per atom: 40.05
Formation enthalpy at 0 K in eV per atom: -0.496


Computed, not measured: a relaxed RbNbTe4 crystal at the PBE level of DFT.

Unit cell a=16.857 b=8.687 c=6.091 alpha=90.00 beta=94.47 gamma=90.00
Space group C2/m (No. 12)
Symmetry-distinct sites (fractional):
Rb 0.184 0.000 0.206 x4
Nb 0.016 0.500 0.268 x4
Te 0.000 0.233 0.000 x4
Te 0.105 0.300 0.606 x8
Te 0.186 0.500 0.265 x4

Formation energy without anion corrections in eV per formula unit: -2.71
E above lowest polymorph in eV per formula unit: 0.07
VASP energy in Ha/atom: -0.16116
DOS at the Fermi energy in states/eV/f.u.: 4.33
V in Å³ per atom: 37.05


Computed, not measured: a relaxed MnBiS2Cl crystal at the PBE level of DFT.

Unit cell a=7.845 b=4.164 c=9.874 alpha=90.00 beta=105.04 gamma=90.00
Space group P2_1/m (No. 11)
Symmetry-distinct sites (fractional):
Mn 0.013 0.250 0.117 x2
Bi 0.208 0.750 0.436 x2
S 0.030 0.750 0.652 x2
S 0.173 0.750 0.124 x2
Cl 0.404 0.250 0.610 x2

Formation energy without anion corrections in eV per formula unit: -2.59
E above lowest polymorph in eV per formula unit: 0.51
VASP energy in Ha/atom: -0.18917
DOS at the Fermi energy in states/eV/f.u.: 0.41
V in Å³ per atom: 31.15


Computed, not measured: a relaxed CsCa3Hf crystal at the PBE level of DFT.

Unit cell a=6.364 b=6.364 c=6.364 alpha=90.00 beta=90.00 gamma=90.00
Space group Pm-3m (No. 221)
Symmetry-distinct sites (fractional):
Cs 0.000 0.000 0.000 x1
Ca 0.000 0.500 0.500 x3
Hf 0.500 0.500 0.500 x1

E above lowest polymorph in eV per formula unit: 0.00
VASP energy in Ha/atom: -0.09519
DOS at the Fermi energy in states/eV/f.u.: 5.37
V in Å³ per atom: 51.55
Formation enthalpy at 0 K in eV per atom: 0.772